(1)
The following is a DFT calculation (PBE-GGA) of a geometry-optimized Ac4TeRhBr2 structure.

abc: 8.151 4.375 8.489
angles: 90.00 107.79 90.00
Space group P2/m (No. 10)
Unique sites:
Ac 0.202 0.000 0.204 (multiplicity 2)
Ac 0.230 0.500 0.777 (multiplicity 2)
Te 0.000 0.000 0.500 (multiplicity 1)
Rh 0.000 0.500 0.000 (multiplicity 1)
Br 0.500 0.000 0.000 (multiplicity 1)
Br 0.500 0.500 0.500 (multiplicity 1)

## Properties
- Volume: 36.0 Å³/atom
- Total DFT energy (no corrections): -4.971 eV/atom

=====

(2)
The following is a DFT calculation (PBE-GGA) of a geometry-optimized Ac4Te2RhBr structure.

abc: 8.083 4.437 8.264
angles: 90.00 107.77 90.00
Space group P2/m (No. 10)
Unique sites:
Ac 0.211 0.000 0.212 (multiplicity 2)
Ac 0.237 0.500 0.765 (multiplicity 2)
Te 0.000 0.000 0.500 (multiplicity 1)
Te 0.500 0.500 0.500 (multiplicity 1)
Rh 0.000 0.500 0.000 (multiplicity 1)
Br 0.500 0.000 0.000 (multiplicity 1)

## Properties
- Volume: 35.3 Å³/atom
- Total DFT energy (no corrections): -5.195 eV/atom

=====

(3)
The following is a DFT calculation (PBE-GGA) of a geometry-optimized Ac6TeRh2Br3 structure.

abc: 7.888 13.621 8.459
angles: 90.00 108.20 90.00
Space group C2/m (No. 12)
Unique sites:
Ac 0.200 0.000 0.204 (multiplicity 4)
Ac 0.246 0.185 0.794 (multiplicity 8)
Te 0.000 0.500 0.000 (multiplicity 2)
Rh 0.000 0.167 0.000 (multiplicity 4)
Br 0.000 0.000 0.500 (multiplicity 2)
Br 0.000 0.344 0.500 (multiplicity 4)

## Properties
- Volume: 36.0 Å³/atom
- Total DFT energy (no corrections): -5.138 eV/atom

=====

(4)
The following is a DFT calculation (PBE-GGA) of a geometry-optimized AcThRhBr structure.

abc: 4.2392 4.2392 24.6263
angles: 90.00 90.00 120.00
Space group R3m (No. 160, hexagonal axes)
Unique sites:
Ac 0.0000 0.0000 0.0000 (multiplicity 3)
Th 0.0000 0.0000 0.2065 (multiplicity 3)
Rh 0.0000 0.0000 0.5941 (multiplicity 3)
Br 0.0000 0.0000 0.7732 (multiplicity 3)

## Properties
- Volume: 31.9 Å³/atom
- Total DFT energy (no corrections): -6.171 eV/atom

=====

(5)
The following is a DFT calculation (PBE-GGA) of a geometry-optimized Ac6TlRh2Br3 structure.

abc: 21.018 4.407 9.814
angles: 90.00 108.13 90.00
Space group C2/m (No. 12)
Unique sites:
Ac 0.023 0.000 0.260 (multiplicity 4)
Ac 0.165 0.500 0.132 (multiplicity 4)
Ac 0.182 0.500 0.558 (multiplicity 4)
Tl 0.000 0.500 0.000 (multiplicity 2)
Rh 0.171 0.000 0.345 (multiplicity 4)
Br 0.000 0.500 0.500 (multiplicity 2)
Br 0.165 0.000 0.846 (multiplicity 4)

## Properties
- Volume: 36.0 Å³/atom
- Total DFT energy (no corrections): -4.910 eV/atom

=====

(6)
The following is a DFT calculation (PBE-GGA) of a geometry-optimized Ac8ZnRh3Br4 structure.

abc: 15.298 8.834 9.694
angles: 90.00 121.82 90.00
Space group C2/m (No. 12)
Unique sites:
Ac 0.022 0.239 0.305 (multiplicity 8)
Ac 0.233 0.000 0.698 (multiplicity 4)
Ac 0.239 0.500 0.695 (multiplicity 4)
Zn 0.000 0.500 0.500 (multiplicity 2)
Rh 0.000 0.000 0.500 (multiplicity 2)
Rh 0.250 0.250 0.500 (multiplicity 4)
Br 0.000 0.000 0.000 (multiplicity 2)
Br 0.000 0.500 0.000 (multiplicity 2)
Br 0.250 0.250 0.000 (multiplicity 4)

## Properties
- Volume: 34.8 Å³/atom
- Total DFT energy (no corrections): -4.960 eV/atom

=====

no.,ΔE_f (raw) (kJ/mol of atoms)
1,-114.5
2,-118.4
3,-113.7
4,-99.7
5,-97.9
6,-99.4